Record 1
Density functional theory data (GGA-PBE) for a geometry-optimized Tm3Si5 structure.

Lattice parameters (Å, degrees): 5.566 16.696 13.241 90.00 90.00 90.00
Space group Fdd2 (No. 43)
Inequivalent atoms, fractional coordinates:
Tm1 0.000 0.000 0.000 x8
Tm2 0.006 0.331 0.995 x16
Si1 0.000 0.000 0.557 x8
Si2 0.007 0.164 0.913 x16
Si3 0.037 0.322 0.592 x16

## Properties
E_form (uncorrected) ... -0.64 eV per atom

Record 2
Density functional theory data (GGA-PBE) for a geometry-optimized Ac5LaTl4 structure.

Lattice parameters (Å, degrees): 3.912 3.912 23.794 90.00 90.00 90.00
Space group P4/mmm (No. 123)
Inequivalent atoms, fractional coordinates:
Ac1 0.000 0.000 0.000 x1
Ac2 0.000 0.000 0.193 x2
Ac3 0.000 0.000 0.385 x2
La1 0.500 0.500 0.500 x1
Tl1 0.500 0.500 0.097 x2
Tl2 0.500 0.500 0.290 x2

## Properties
ΔE_f ... -271 meV/atom

Record 3
Density functional theory data (GGA-PBE) for a geometry-optimized LaCu2N2 structure.

Lattice parameters (Å, degrees): 3.454 3.454 10.518 90.00 90.00 90.00
Space group I4/mmm (No. 139)
Inequivalent atoms, fractional coordinates:
La1 0.000 0.000 0.000 x2
Cu1 0.000 0.500 0.250 x4
N1 0.000 0.000 0.368 x4

## Properties
E_form (uncorrected) ... -0.03 eV per atom
Energy relative to the lowest polymorph listed for this composition ... 0.0 meV/atom

Record 4
Density functional theory data (GGA-PBE) for a geometry-optimized DyClO structure.

Lattice parameters (Å, degrees): 3.8187 3.8187 29.8572 90.00 90.00 120.00
Space group R-3m (No. 166, hexagonal axes)
Inequivalent atoms, fractional coordinates:
Dy1 0.0000 0.0000 0.1188 x6
Cl1 0.0000 0.0000 0.3940 x6
O1 0.0000 0.0000 0.1951 x6

## Properties
E_form (uncorrected) ... -3.12 eV per atom

Record 5
Density functional theory data (GGA-PBE) for a geometry-optimized MgFeCo2 structure.

Lattice parameters (Å, degrees): 9.246 2.879 4.274 90.00 117.44 90.00
Space group C2/m (No. 12)
Inequivalent atoms, fractional coordinates:
Mg1 0.000 0.000 0.000 x2
Fe1 0.000 0.500 0.500 x2
Co1 0.233 0.000 0.734 x4

## Properties
ΔE_f ... 134 meV/atom

Short version: uncorrected energy = -365.45, -37.64, -59.86, -124.64, -47.47 eV per cell, in the order given.
Short version: magnetization = 0.00, 0.00, 0.00, 0.00, 5.38 μB per formula unit, in the order given.